GGA+U NaFeSeO4, optimized geometry; volume = 12.82 Å³/atom; total magnetization = 5.99 μB/cell; DFT total energy = -5.4129 eV per atom
1.0
6.798 0.000 0.000
3.399 5.369 0.295
3.399 1.916 5.024
Na Fe Se O
2 2 2 8
Direct
0.500 0.000 0.500
0.000 0.000 0.500
0.000 0.000 0.000
0.000 0.500 0.500
0.605 0.645 0.145
0.395 0.355 0.855
0.720 0.757 0.803
0.280 0.697 0.743
0.720 0.303 0.257
0.280 0.243 0.197
0.190 0.746 0.246
0.817 0.746 0.246
0.183 0.254 0.754
0.810 0.254 0.754